LaMg2Mo: optimized geometry, GGA-PBE.

## Properties
As for the space group: F-43m (216). For the formation energy from the elements, the calculation gives 0.49 eV/atom. The energy above the most stable polymorph in this dataset comes out at 0.192 eV/atom. As for the final energy: -4.25 eV/atom.

```
LaMg2Mo
1.0
0.000 3.582 3.582
3.582 0.000 3.582
3.582 3.582 0.000
La Mg Mo
1 2 1
direct
0.000 0.000 0.000 La
0.250 0.250 0.250 Mg
0.500 0.500 0.500 Mg
0.750 0.750 0.750 Mo
```